Entry from the Alexandria database: a relaxed Pm4SmTe4 crystal (PBE).

As for the space group: No. 121. The uncorrected formation energy comes out at -0.827 eV/atom. The density of states at the Fermi level is 8.91 states/eV/f.u.

Cell: 8.7731 8.7731 8.7731 Å, 132.16 132.16 69.97°
Fractional coordinates of all 9 atoms:
Pm 0.0000 0.5000 0.5000
Pm 0.2388 0.2388 0.0000
Pm 0.5000 0.0000 0.5000
Pm 0.7612 0.7612 0.0000
Sm 0.5000 0.5000 0.0000
Te 0.1280 0.6148 0.0000
Te 0.3852 0.3852 0.5133
Te 0.6148 0.1280 0.0000
Te 0.8720 0.8720 0.4867